Record 1
The following is a DFT calculation (PBE-GGA) of MnInBr2 after structural relaxation.

Summary:
**Formation energy without anion corrections**: 96 meV/atom
**Magnetization**: 0.00 μB/f.u.
**Crystal system**: tetragonal

```
data_MnInBr2
_chemical_formula_sum 'Mn4 In4 Br8'
_space_group_name_H-M_alt 'I -4 2 d'
_space_group_IT_number 122
_space_group_name_Hall 'I -4 2bw'
_cell_length_a 8.5716
_cell_length_b 8.5716
_cell_length_c 5.4805
_cell_angle_alpha 90.00
_cell_angle_beta 90.00
_cell_angle_gamma 90.00
loop_
_atom_site_label
_atom_site_type_symbol
_atom_site_fract_x
_atom_site_fract_y
_atom_site_fract_z
_atom_site_occupancy
Mn1 Mn 0.0000 0.0000 0.0000 1
In1 In 0.0000 0.0000 0.5000 1
Br1 Br 0.1131 0.2500 0.1250 1
```



Record 2
The following is a DFT calculation (PBE-GGA) of Ho2ReTc3 after structural relaxation.

Summary:
**Magnetization**: 0.00 μB/f.u.
**DFT formation energy**: -182 meV per atom
**Crystal system**: trigonal

```
data_Ho2ReTc3
_chemical_formula_sum 'Ho6 Re3 Tc9'
_space_group_name_H-M_alt 'R -3 m'
_space_group_IT_number 166
_space_group_name_Hall '-R 3 2"'
_cell_length_a 5.4680
_cell_length_b 5.4680
_cell_length_c 12.8811
_cell_angle_alpha 90.00
_cell_angle_beta 90.00
_cell_angle_gamma 120.00
loop_
_atom_site_label
_atom_site_type_symbol
_atom_site_fract_x
_atom_site_fract_y
_atom_site_fract_z
_atom_site_occupancy
Ho1 Ho 0.0000 0.0000 0.1260 1
Re1 Re 0.0000 0.0000 0.5000 1
Tc1 Tc 0.0000 0.5000 0.0000 1
```